DFT (GGA-PBEsol) results for a relaxed structure of LiIrO3.

Properties
- Formation energy without anion corrections: -75.5 kJ/mol of atoms
- Final energy: -6.29 eV per atom

Structure (CIF):
```
data_LiIrO3
_space_group_name_H-M_alt 'P m -3 m'
_space_group_IT_number 221
_space_group_name_Hall '-P 4 2 3'
_cell_length_a 3.838
_cell_length_b 3.838
_cell_length_c 3.838
_cell_angle_alpha 90.00
_cell_angle_beta 90.00
_cell_angle_gamma 90.00
loop_
_atom_site_label
_atom_site_type_symbol
_atom_site_fract_x
_atom_site_fract_y
_atom_site_fract_z
Li1 Li 0.000 0.000 0.000
Ir1 Ir 0.500 0.500 0.500
O1 O 0.000 0.500 0.500
```



DFT (GGA-PBEsol) results for a relaxed structure of GdAl4Ni.

Properties
- Formation enthalpy at 0 K: -54.7 kJ/mol of atoms
- Final energy: -6.73 eV per atom

Structure (CIF):
```
data_GdAl4Ni
_space_group_name_H-M_alt 'C m c m'
_space_group_IT_number 63
_space_group_name_Hall '-C 2c 2'
_cell_length_a 4.054
_cell_length_b 15.381
_cell_length_c 6.524
_cell_angle_alpha 90.00
_cell_angle_beta 90.00
_cell_angle_gamma 90.00
loop_
_atom_site_label
_atom_site_type_symbol
_atom_site_fract_x
_atom_site_fract_y
_atom_site_fract_z
Gd1 Gd 0.000 0.117 0.250
Al1 Al 0.000 0.076 0.750
Al2 Al 0.000 0.311 0.052
Al3 Al 0.000 0.500 0.000
Ni1 Ni 0.000 0.225 0.750
```



DFT (GGA-PBEsol) results for a relaxed structure of AsWO3.

Properties
- Formation energy without anion corrections: 28.6 kJ/mol of atoms
- Final energy: -6.64 eV per atom

Structure (CIF):
```
data_AsWO3
_space_group_name_H-M_alt 'P m -3 m'
_space_group_IT_number 221
_space_group_name_Hall '-P 4 2 3'
_cell_length_a 3.883
_cell_length_b 3.883
_cell_length_c 3.883
_cell_angle_alpha 90.00
_cell_angle_beta 90.00
_cell_angle_gamma 90.00
loop_
_atom_site_label
_atom_site_type_symbol
_atom_site_fract_x
_atom_site_fract_y
_atom_site_fract_z
As1 As 0.000 0.000 0.000
W1 W 0.500 0.500 0.500
O1 O 0.000 0.000 0.500
```



DFT (GGA-PBEsol) results for a relaxed structure of CaCd2Hg.

Properties
- Formation enthalpy at 0 K: -34.3 kJ/mol of atoms
- Final energy: -1.63 eV per atom

Structure (CIF):
```
data_CaCd2Hg
_space_group_name_H-M_alt 'F -4 3 m'
_space_group_IT_number 216
_space_group_name_Hall 'F -4 2 3'
_cell_length_a 7.111
_cell_length_b 7.111
_cell_length_c 7.111
_cell_angle_alpha 90.00
_cell_angle_beta 90.00
_cell_angle_gamma 90.00
loop_
_atom_site_label
_atom_site_type_symbol
_atom_site_fract_x
_atom_site_fract_y
_atom_site_fract_z
Ca1 Ca 0.000 0.000 0.000
Cd1 Cd 0.000 0.000 0.500
Cd2 Cd 0.250 0.250 0.250
Hg1 Hg 0.250 0.250 0.750
```